First-principles (GGA-PBE) data for Eu3Al after structural relaxation, as listed in Alexandria via LeMat-Bulk.

Lattice parameters (Å, degrees): 5.660 4.018 6.851 107.05 114.40 90.00
Fractional coordinates of all 4 atoms:
Eu  0.500  0.167  0.000
Al  0.000  0.667  0.000
Eu  0.215  0.381  0.429
Eu  0.785  0.952  0.571



First-principles (GGA-PBE) data for EuAl after structural relaxation, as listed in Alexandria via LeMat-Bulk.

Lattice parameters (Å, degrees): 5.725 9.427 9.981 90.00 90.00 90.00
Fractional coordinates of all 20 atoms:
Eu  0.000  0.500  0.495
Al  0.000  0.000  0.955
Eu  0.500  0.182  0.915
Al  0.000  0.146  0.374
Eu  0.000  0.318  0.085
Eu  0.000  0.682  0.085
Eu  0.000  0.800  0.690
Eu  0.500  0.818  0.915
Eu  0.500  0.700  0.310
Eu  0.000  0.200  0.690
Al  0.740  0.000  0.184
Al  0.000  0.854  0.374
Eu  0.500  0.300  0.310
Al  0.240  0.500  0.816
Al  0.500  0.500  0.045
Al  0.500  0.354  0.626
Eu  0.500  0.000  0.505
Al  0.760  0.500  0.816
Al  0.260  0.000  0.184
Al  0.500  0.646  0.626



First-principles (GGA-PBE) data for Eu6Al after structural relaxation, as listed in Alexandria via LeMat-Bulk.

Lattice parameters (Å, degrees): 8.048 8.048 8.048 109.47 109.47 109.47
Fractional coordinates of all 7 atoms:
Eu  0.250  0.500  0.750
Eu  0.750  0.250  0.500
Eu  0.500  0.250  0.750
Eu  0.750  0.500  0.250
Al  0.000  0.000  0.000
Eu  0.500  0.750  0.250
Eu  0.250  0.750  0.500



First-principles (GGA-PBE) data for EuAl6 after structural relaxation, as listed in Alexandria via LeMat-Bulk.

Lattice parameters (Å, degrees): 6.282 6.282 6.282 109.47 109.47 109.47
Fractional coordinates of all 7 atoms:
Al  0.250  0.500  0.750
Al  0.500  0.250  0.750
Al  0.750  0.250  0.500
Al  0.500  0.750  0.250
Al  0.250  0.750  0.500
Al  0.750  0.500  0.250
Eu  0.000  0.000  0.000



First-principles (GGA-PBE) data for EuAl5 after structural relaxation, as listed in Alexandria via LeMat-Bulk.

Lattice parameters (Å, degrees): 4.341 4.276 6.599 108.90 90.00 90.00
Fractional coordinates of all 6 atoms:
Al  0.500  0.500  0.000
Al  0.000  0.319  0.639
Al  0.000  0.681  0.361
Al  0.500  0.826  0.652
Al  0.500  0.174  0.348
Eu  0.000  0.000  0.000



First-principles (GGA-PBE) data for Eu3Al after structural relaxation, as listed in Alexandria via LeMat-Bulk.

Lattice parameters (Å, degrees): 5.188 5.188 6.010 115.57 115.57 90.00
Fractional coordinates of all 4 atoms:
Eu  0.250  0.750  0.500
Al  0.000  0.000  0.000
Eu  0.750  0.250  0.500
Eu  0.500  0.500  0.000



no.,N(E_F) (states/eV/cell),formation energy (kcal/mol of atoms)
1,5.3,-2.2
2,58.2,-6.6
3,12.3,29.9
4,13.4,7.5
5,2.2,-3.1
6,9.3,0.0